MnAlAg2F6 after structural relaxation, computed with GGA+U.

Values from the calculation:
- E (Ry per atom) = -0.3672
- calculated density (g/cm³) = 5.1

Lattice parameters (Å, degrees): 5.7420 5.7123 8.1227 90.00 90.00 90.00
Closest atoms and distances in Å follow each position.
Positions (direct):
1 F 0.2721 0.4733 0.5000  1 Al 1.86
2 Ag 0.0000 0.2591 0.2505  12 F 2.84-2.91
3 Al 0.5000 0.2425 0.5000  6 F 1.85-1.86
4 F 0.7279 0.4733 0.5000  1 Al 1.86
5 F 0.2279 0.5267 0.0000  1 Al 1.86
6 Al 0.0000 0.7575 0.0000  6 F 1.85-1.86
7 Mn 0.0000 0.7462 0.5000  6 F 2.19-2.21
8 Ag 0.0000 0.2591 0.7495  12 F 2.84-2.91
9 F 0.2713 0.0146 0.5000  1 Al 1.85
10 Ag 0.5000 0.7409 0.2495  12 F 2.84-2.91
11 Mn 0.5000 0.2538 0.0000  6 F 2.19-2.21
12 F 0.0000 0.7597 0.7715  1 Al 1.86
13 F 0.0000 0.7597 0.2285  1 Al 1.86
14 F 0.5000 0.2403 0.7285  1 Al 1.86
15 F 0.7721 0.5267 0.0000  1 Al 1.86
16 F 0.2287 0.9854 0.0000  1 Al 1.85
17 F 0.5000 0.2403 0.2715  1 Al 1.86
18 F 0.7287 0.0146 0.5000  1 Al 1.85
19 Ag 0.5000 0.7409 0.7505  12 F 2.84-2.91
20 F 0.7713 0.9854 0.0000  1 Al 1.85